# LiNiPb2O6, optimized geometry, DFT PBE with a Hubbard U
data_LiNiPb2O6
_chemical_formula_sum 'Li1 Ni1 Pb2 O6'
_cell_length_a 5.354
_cell_length_b 5.369
_cell_length_c 5.670
_cell_angle_alpha 63.75
_cell_angle_beta 61.89
_cell_angle_gamma 61.37
_symmetry_space_group_name_H-M 'P 1'
_symmetry_Int_Tables_number 1
loop_
_symmetry_equiv_pos_as_xyz
'x,y,z'
loop_
_atom_site_label
_atom_site_type_symbol
_atom_site_fract_x
_atom_site_fract_y
_atom_site_fract_z
Li1 Li 0.000 0.000 0.000
Ni1 Ni 0.471 0.478 0.566
Pb1 Pb 0.264 0.271 0.186
Pb2 Pb 0.776 0.785 0.663
O1 O 0.114 0.377 0.819
O2 O 0.199 0.853 0.338
O3 O 0.368 0.681 0.826
O4 O 0.582 0.224 0.353
O5 O 0.684 0.105 0.846
O6 O 0.827 0.588 0.354
# DFT total energy = -5.154 eV/atom
# Calculated volume = 121.1 Å³/cell